# Ti7CrPd2

Ti7CrPd2 after structural relaxation (PBE, the Alexandria database).

abc: 6.347 6.347 6.347
angles: 60.00 60.00 60.00
Element x y z (fractional)
Pd  0.250  0.250  0.250
Pd  0.750  0.750  0.750
Ti  0.245  0.245  0.755
Ti  0.755  0.245  0.245
Ti  0.500  0.500  0.500
Ti  0.755  0.245  0.755
Ti  0.245  0.755  0.755
Ti  0.245  0.755  0.245
Ti  0.755  0.755  0.245
Cr  0.000  0.000  0.000

Space group ... No. 225
DFT formation energy ... 6.1 eV/f.u.